DFT (PBE) results for a relaxed K2SrAsO4 crystal.

```
K2SrAsO4
1.0
6.2693 -0.4377 -0.6705
-3.0673 5.4852 0.6705
-3.0673 -1.5936 5.2913
As O K Sr
1 4 2 1
Cartesian
-3.0673 1.9458 2.9809 As
-2.2743 0.3286 3.2823 O
-2.5668 3.0581 4.3400 O
1.4011 1.2208 2.2150 O
3.7094 2.3003 0.7452 O
0.0674 3.4966 1.4904 K
0.0000 0.0000 0.0000 K
0.0674 -0.0427 3.8008 Sr
```

Computed properties:
Formation energy (no corrections) = -1705.4 meV per atom
Crystal system = tetragonal
Volume = 167.9 Å³/f.u.
Total moment = 0.00 μB/f.u.
SG = I-4 (82)